A plane-wave DFT calculation with GGA-PBE was carried out for an optimized crystal structure of CsRb2LiCl4.

Structure (POSCAR):
```
CsRb2LiCl4
1.0
2.267 -7.758 0.000
2.267 7.758 0.000
0.000 0.000 16.148
Cs Rb Li Cl
2 4 2 8
direct
0.100 0.900 0.750
0.900 0.100 0.250
0.363 0.637 0.550
0.363 0.637 0.950
0.637 0.363 0.050
0.637 0.363 0.450
0.176 0.824 0.250
0.824 0.176 0.750
0.000 0.000 0.000
0.000 0.000 0.500
0.268 0.732 0.133
0.268 0.732 0.367
0.408 0.592 0.750
0.592 0.408 0.250
0.732 0.268 0.633
0.732 0.268 0.867
```

Output
E: -0.12538 hartree per atom
Magnetization: 0.34 μB per cell
V: 35.51 Å³ per atom

---

A plane-wave DFT calculation with GGA-PBE was carried out for an optimized crystal structure of Cs2RbLiCl.

Structure (POSCAR):
```
Cs2RbLiCl
1.0
8.312 0.000 0.000
0.000 8.312 0.000
0.000 0.000 4.843
Cs Rb Li Cl
2 1 1 1
direct
0.000 0.500 0.000
0.500 0.000 0.000
0.000 0.000 0.500
0.500 0.500 0.500
0.500 0.500 0.000
```

Output
E: -0.06826 hartree per atom
Magnetization: 0.00 μB per cell
V: 66.92 Å³ per atom

---

A plane-wave DFT calculation with GGA-PBE was carried out for an optimized crystal structure of Cs4Rb3LiCl8.

Structure (POSCAR):
```
Cs4Rb3LiCl8
1.0
8.397 -4.718 0.000
8.397 4.718 0.000
-5.305 0.000 7.815
Cs Rb Li Cl
4 3 1 8
direct
0.000 0.000 0.000
0.000 0.500 0.000
0.500 0.000 0.000
0.500 0.500 0.000
0.000 0.000 0.500
0.000 0.500 0.500
0.500 0.000 0.500
0.500 0.500 0.500
0.237 0.237 0.249
0.245 0.245 0.734
0.284 0.709 0.700
0.291 0.716 0.300
0.709 0.284 0.700
0.716 0.291 0.300
0.755 0.755 0.266
0.763 0.763 0.751
```

Output
E: -0.12182 hartree per atom
Magnetization: 0.41 μB per cell
V: 38.70 Å³ per atom

---

Q: What is the V in the second record?
A: 66.92 Å³ per atom

---

Q: Which value of magnetization does entry 2 give?
A: 0.00 μB per cell